! Pa2CrCuO8, optimized geometry, DFT GGA+U; values from VASP
! Size of the total moment = 3.1 μB per formula unit
! Energy = -99.86 eV/cell
! Symmetry = I-4
! DOS(E_F) = 0.352 states/eV per atom
&SYSTEM
  ibrav = 0, nat = 12, ntyp = 4
/
ATOMIC_SPECIES
O 16.00 O.upf
Cu 63.55 Cu.upf
Cr 52.00 Cr.upf
Pa 231.04 Pa.upf
ATOMIC_POSITIONS crystal
O 0.9064 0.3742 0.1717
O 0.4963 0.4231 0.3370
O 0.6258 0.7347 0.8283
O 0.2653 0.7975 0.1717
O 0.5769 0.1593 0.6630
O 0.8407 0.9139 0.3370
O 0.2025 0.0936 0.8283
O 0.0861 0.5037 0.6630
Cu 0.0000 0.0000 0.0000
Cr 0.7500 0.2500 0.5000
Pa 0.5000 0.5000 0.0000
Pa 0.2500 0.7500 0.5000
CELL_PARAMETERS angstrom
-5.0924 -0.7478 0.5727
0.6166 -5.0268 -1.0818
2.9935 1.8309 5.5942